Record 1
# Dy2Ho6Mg, optimized geometry, DFT PBE-GGA
data_Dy2Ho6Mg
_chemical_formula_sum 'Dy2 Ho6 Mg1'
_space_group_name_H-M_alt 'P 1'
_space_group_IT_number 1
_cell_length_a 3.528
_cell_length_b 3.528
_cell_length_c 25.807
_cell_angle_alpha 90.00
_cell_angle_beta 90.00
_cell_angle_gamma 120.00
loop_
_space_group_symop_operation_xyz
'x,y,z'
loop_
_atom_site_label
_atom_site_fract_x
_atom_site_fract_y
_atom_site_fract_z
Mg1 0.333 0.667 0.000
Ho1 0.333 0.667 0.215
Ho2 0.333 0.667 0.434
Ho3 0.333 0.667 0.566
Ho4 0.667 0.333 0.106
Ho5 0.333 0.667 0.785
Ho6 0.667 0.333 0.894
Dy1 0.667 0.333 0.326
Dy2 0.667 0.333 0.674
# - ΔH_f (0 K) (eV per atom) = 0.064
# - total energy (eV per atom) = -4.187
# - space group = P-6m2 (187)
# - volume (Å³/atom) = 30.9

Record 2
# KSiF5, optimized geometry, DFT PBE-GGA
data_KSiF5
_chemical_formula_sum 'K1 Si1 F5'
_space_group_name_H-M_alt 'P 1'
_space_group_IT_number 1
_cell_length_a 4.699
_cell_length_b 5.723
_cell_length_c 5.723
_cell_angle_alpha 67.32
_cell_angle_beta 65.76
_cell_angle_gamma 65.76
loop_
_space_group_symop_operation_xyz
'x,y,z'
loop_
_atom_site_label
_atom_site_fract_x
_atom_site_fract_y
_atom_site_fract_z
K1 0.055 0.000 0.000
F1 0.921 0.500 0.500
F2 0.252 0.682 0.682
F3 0.556 0.767 0.233
F4 0.616 0.318 0.318
F5 0.556 0.233 0.767
Si1 0.574 0.500 0.500
# - raw formation energy (eV/atom) = -3.132
# - total energy (eV per atom) = -5.401
# - space group = Imm2 (44)
# - volume (Å³/atom) = 17.6

Record 3
# Nd4Tm3ScSe8, optimized geometry, DFT PBE-GGA
data_Nd4Tm3ScSe8
_chemical_formula_sum 'Nd4 Tm3 Sc1 Se8'
_space_group_name_H-M_alt 'P 1'
_space_group_IT_number 1
_cell_length_a 8.081
_cell_length_b 8.367
_cell_length_c 8.081
_cell_angle_alpha 118.87
_cell_angle_beta 120.00
_cell_angle_gamma 90.00
loop_
_space_group_symop_operation_xyz
'x,y,z'
loop_
_atom_site_label
_atom_site_fract_x
_atom_site_fract_y
_atom_site_fract_z
Se1 0.253 0.274 0.014
Se2 0.761 0.274 0.521
Se3 0.240 0.726 0.986
Se4 0.239 0.726 0.479
Se5 0.747 0.726 0.986
Se6 0.760 0.274 0.014
Se7 0.257 0.271 0.514
Se8 0.743 0.729 0.486
Tm1 0.500 0.500 0.500
Tm2 0.500 0.500 0.000
Tm3 0.000 0.500 0.500
Sc1 0.000 0.500 0.000
Nd1 0.000 0.000 0.000
Nd2 0.000 0.000 0.500
Nd3 0.500 0.000 0.000
Nd4 0.500 0.000 0.500
# - raw formation energy (eV/atom) = -1.743
# - total energy (eV per atom) = -5.912
# - space group = R-3m (166)
# - volume (Å³/atom) = 24.5

Record 4
# K2LiCa, optimized geometry, DFT PBE-GGA
data_K2LiCa
_chemical_formula_sum 'K2 Li1 Ca1'
_space_group_name_H-M_alt 'P 1'
_space_group_IT_number 1
_cell_length_a 4.386
_cell_length_b 6.484
_cell_length_c 6.823
_cell_angle_alpha 90.00
_cell_angle_beta 90.00
_cell_angle_gamma 90.00
loop_
_space_group_symop_operation_xyz
'x,y,z'
loop_
_atom_site_label
_atom_site_fract_x
_atom_site_fract_y
_atom_site_fract_z
Li1 0.500 0.000 0.500
Ca1 0.000 0.500 0.500
K1 0.000 0.000 0.000
K2 0.500 0.500 0.000
# - ΔH_f (0 K) (eV per atom) = 0.206
# - relative energy among the computed polymorphs (meV/atom) = 98
# - total energy (eV per atom) = -1.322
# - space group = Pmmm (47)
# - volume (Å³/atom) = 48.5

Record 5
# FeTe3Ru, optimized geometry, DFT PBE-GGA
data_FeTe3Ru
_chemical_formula_sum 'Fe1 Te3 Ru1'
_space_group_name_H-M_alt 'P 1'
_space_group_IT_number 1
_cell_length_a 5.146
_cell_length_b 5.146
_cell_length_c 5.146
_cell_angle_alpha 90.00
_cell_angle_beta 90.00
_cell_angle_gamma 90.00
loop_
_space_group_symop_operation_xyz
'x,y,z'
loop_
_atom_site_label
_atom_site_fract_x
_atom_site_fract_y
_atom_site_fract_z
Ru1 0.000 0.000 0.000
Te1 0.000 0.000 0.500
Te2 0.500 0.000 0.000
Te3 0.000 0.500 0.000
Fe1 0.500 0.500 0.500
# - raw formation energy (eV/atom) = 1.228
# - relative energy among the computed polymorphs (meV/atom) = 224
# - total energy (eV per atom) = -4.205
# - space group = Pm-3m (221)
# - volume (Å³/atom) = 27.3

Record 6
# PuIn2Bi, optimized geometry, DFT PBE-GGA
data_PuIn2Bi
_chemical_formula_sum 'Pu1 In2 Bi1'
_space_group_name_H-M_alt 'P 1'
_space_group_IT_number 1
_cell_length_a 5.031
_cell_length_b 4.617
_cell_length_c 4.617
_cell_angle_alpha 90.00
_cell_angle_beta 90.00
_cell_angle_gamma 90.00
loop_
_space_group_symop_operation_xyz
'x,y,z'
loop_
_atom_site_label
_atom_site_fract_x
_atom_site_fract_y
_atom_site_fract_z
In1 0.000 0.500 0.000
In2 0.000 0.000 0.500
Pu1 0.500 0.500 0.500
Bi1 0.500 0.000 0.000
# - ΔH_f (0 K) (eV per atom) = -0.265
# - relative energy among the computed polymorphs (meV/atom) = 0
# - total energy (eV per atom) = -6.187
# - space group = P4/mmm (123)
# - volume (Å³/atom) = 26.8

Record 7
# LaCo3Si, optimized geometry, DFT PBE-GGA
data_LaCo3Si
_chemical_formula_sum 'La1 Co3 Si1'
_space_group_name_H-M_alt 'P 1'
_space_group_IT_number 1
_cell_length_a 4.322
_cell_length_b 4.322
_cell_length_c 4.322
_cell_angle_alpha 90.00
_cell_angle_beta 90.00
_cell_angle_gamma 90.00
loop_
_space_group_symop_operation_xyz
'x,y,z'
loop_
_atom_site_label
_atom_site_fract_x
_atom_site_fract_y
_atom_site_fract_z
La1 0.500 0.500 0.500
Co1 0.500 0.000 0.000
Co2 0.000 0.500 0.000
Co3 0.000 0.000 0.500
Si1 0.000 0.000 0.000
# - raw formation energy (eV/atom) = -0.046
# - relative energy among the computed polymorphs (meV/atom) = 0
# - total energy (eV per atom) = -6.380
# - space group = Pm-3m (221)
# - volume (Å³/atom) = 16.1

Record 8
# Pm2ZnNi2Rh5, optimized geometry, DFT PBE-GGA
data_Pm2ZnNi2Rh5
_chemical_formula_sum 'Pm4 Zn2 Ni4 Rh10'
_space_group_name_H-M_alt 'P 1'
_space_group_IT_number 1
_cell_length_a 3.870
_cell_length_b 9.243
_cell_length_c 9.243
_cell_angle_alpha 90.00
_cell_angle_beta 90.00
_cell_angle_gamma 90.00
loop_
_space_group_symop_operation_xyz
'x,y,z'
loop_
_atom_site_label
_atom_site_fract_x
_atom_site_fract_y
_atom_site_fract_z
Rh1 0.500 0.435 0.294
Rh2 0.500 0.706 0.435
Rh3 0.500 0.565 0.706
Rh4 0.500 0.500 0.000
Rh5 0.500 0.065 0.794
Rh6 0.500 0.294 0.565
Rh7 0.500 0.935 0.206
Rh8 0.500 0.794 0.935
Rh9 0.500 0.206 0.065
Rh10 0.500 0.000 0.500
Pm1 0.000 0.677 0.177
Pm2 0.000 0.177 0.323
Pm3 0.000 0.823 0.677
Pm4 0.000 0.323 0.823
Zn1 0.000 0.500 0.500
Zn2 0.000 0.000 0.000
Ni1 0.000 0.878 0.378
Ni2 0.000 0.622 0.878
Ni3 0.000 0.378 0.122
Ni4 0.000 0.122 0.622
# - ΔH_f (0 K) (eV per atom) = -0.408
# - total energy (eV per atom) = -6.318
# - space group = P4/mbm (127)
# - volume (Å³/atom) = 16.5

- Which of these has the lowest total energy?
  LaCo3Si

- What is the formula in the third record?
  Nd4Tm3ScSe8